A relaxed VCuO2 crystal, computed with GGA+U.

## Properties
total energy: -6.6364 eV per atom

Lattice parameters (Å, degrees): 9.9962 9.9962 3.0559 90.00 90.00 163.76
Positions (direct):
Cu (0.0467, 0.9533, 0.2500)
Cu (0.9533, 0.0467, 0.7500)
O (0.2093, 0.7907, 0.2500)
O (0.7907, 0.2093, 0.7500)
O (0.8924, 0.1076, 0.2500)
O (0.1076, 0.8924, 0.7500)
V (0.3162, 0.6838, 0.2500)
V (0.6838, 0.3162, 0.7500)